#1
PmDySc3: optimized geometry, PBE.

Cell lengths 7.111, 7.742, 6.447 Å; angles 102.28, 123.47, 90.00 degrees
Sites, in units of the cell vectors:
Pm 0.394 0.780 0.789
Pm 0.606 0.220 0.211
Dy 0.843 0.999 0.687
Dy 0.157 0.001 0.313
Sc 0.852 0.653 0.282
Sc 0.096 0.373 0.192
Sc 0.430 0.653 0.282
Sc 0.570 0.347 0.718
Sc 0.148 0.347 0.718
Sc 0.904 0.627 0.808

Its symmetry is No. 12. For the total moment, the calculation gives 0.00 μB/cell.

---

#2
PmDySc3: optimized geometry, PBE.

Cell lengths 5.988, 8.767, 11.301 Å; angles 110.25, 90.00, 90.00 degrees
Sites, in units of the cell vectors:
Pm 0.167 0.946 0.603
Pm 0.667 0.554 0.897
Pm 0.833 0.054 0.397
Pm 0.333 0.446 0.103
Dy 0.661 0.742 0.500
Dy 0.339 0.258 0.500
Dy 0.839 0.242 0.000
Dy 0.161 0.758 0.000
Sc 0.839 0.453 0.601
Sc 0.661 0.953 0.101
Sc 0.324 0.648 0.700
Sc 0.824 0.852 0.800
Sc 0.676 0.352 0.300
Sc 0.161 0.547 0.399
Sc 0.166 0.348 0.796
Sc 0.834 0.652 0.204
Sc 0.339 0.047 0.899
Sc 0.176 0.148 0.200
Sc 0.334 0.848 0.296
Sc 0.666 0.152 0.704

Its symmetry is No. 14. For the total moment, the calculation gives 0.00 μB/cell.

---

Which is more stable than every other structure shown? #2 is more stable than every other one.